Material: ZnAg2Br
Method: DFT, PBE-GGA
State: relaxed

Structure (POSCAR):
```
ZnAg2Br
1.0
-2.960 -1.226 -1.074
2.806 -4.916 -2.122
-0.566 -1.966 3.806
Ag Br Zn
2 1 1
direct
0.000 0.000 0.000 Ag
0.500 0.500 0.000 Ag
0.500 0.000 0.500 Br
0.000 0.500 0.500 Zn
```

Values from the calculation:
E above lowest polymorph, kcal/mol of atoms: 3.41
D(E_F), states/eV per atom: 0.09
Crystal system: orthorhombic
Spin magnetization, μB/atom: 0.000
Uncorrected formation energy, eV/atom: 0.1067
Space-group type: No. 47